The following is a GGA-PBE calculation of LuMgCuRu after structural relaxation, from Alexandria via LeMat-Bulk.

Results
D(E_F)   1.38 states/eV/f.u.
Space group   F-43m
Formation energy from the elements   -209.7 meV/atom

a b c (Å): 4.606 4.606 4.606
angles (deg): 60.00 60.00 60.00
Positions (direct):
Lu 0.000 0.000 0.000
Mg 0.500 0.500 0.500
Cu 0.750 0.750 0.750
Ru 0.250 0.250 0.250